5
Lattice="4.966 0.000 0.000 0.000 4.966 0.000 0.000 0.000 2.895" Properties=species:S:1:pos:R:3 comment="PBE-GGA BeP2AuO, relaxed" dos_at_fermi_per_ev_cell=2.3 polymorph_energy_mev_per_atom=0 sg="P4/mmm, No. 123" raw_formation_energy_mev_per_atom=-48 pbc="T T T"
Be 0.000 0.000 0.000
P 0.000 2.483 0.000
P 2.483 0.000 0.000
Au 2.483 2.483 1.447
O 0.000 0.000 1.447